No. 1
Computed, not measured: PrYNiHg after structural relaxation at the PBE level of DFT.

Properties
The formation enthalpy at 0 K is -297 meV/atom. The calculated total energy comes out at -74.05 eV for the cell shown. For the total magnetization, the calculation gives 0.00 μB per formula unit.

Lattice parameters (Å, degrees): 7.306 7.306 7.306 90.00 90.00 90.00
Space group F-43m (No. 216)
Unique sites:
Pr 0.000 0.000 0.000 [4 per cell]
Y 0.000 0.000 0.500 [4 per cell]
Ni 0.250 0.250 0.250 [4 per cell]
Hg 0.250 0.250 0.750 [4 per cell]



No. 2
Computed, not measured: NiHg2Pt after structural relaxation at the PBE level of DFT.

Properties
The formation enthalpy at 0 K is 163 meV/atom. The calculated total energy comes out at -23.55 eV for the cell shown. For the total magnetization, the calculation gives 0.00 μB per formula unit.

Lattice parameters (Å, degrees): 2.956 4.716 10.082 90.00 90.00 90.00
Space group Imm2 (No. 44)
Unique sites:
Ni 0.000 0.000 0.000 [2 per cell]
Hg 0.000 0.000 0.483 [2 per cell]
Hg 0.000 0.500 0.270 [2 per cell]
Pt 0.000 0.500 0.711 [2 per cell]



No. 3
Computed, not measured: NiHg2Pt after structural relaxation at the PBE level of DFT.

Properties
The formation enthalpy at 0 K is 175 meV/atom. The calculated total energy comes out at -11.73 eV for the cell shown. For the total magnetization, the calculation gives 0.00 μB per formula unit.

Lattice parameters (Å, degrees): 3.026 4.427 5.467 90.00 105.33 90.00
Space group Pm (No. 6)
Unique sites:
Ni 0.000 0.000 0.000 [1 per cell]
Hg 0.414 0.500 0.830 [1 per cell]
Hg 0.720 0.000 0.468 [1 per cell]
Pt 0.133 0.500 0.289 [1 per cell]



No. 4
Computed, not measured: NiHgPt3 after structural relaxation at the PBE level of DFT.

Properties
The formation enthalpy at 0 K is 824 meV/atom. The calculated total energy comes out at -20.09 eV for the cell shown. For the total magnetization, the calculation gives 1.01 μB per formula unit. As for the relative energy among the computed polymorphs: 0.0000 eV/atom.

Lattice parameters (Å, degrees): 4.601 4.601 4.601 90.00 90.00 90.00
Space group Pm-3m (No. 221)
Unique sites:
Ni 0.000 0.000 0.000 [1 per cell]
Hg 0.500 0.500 0.500 [1 per cell]
Pt 0.000 0.000 0.500 [3 per cell]



No. 5
Computed, not measured: Ni3HgPt after structural relaxation at the PBE level of DFT.

Properties
The formation enthalpy at 0 K is 982 meV/atom. The calculated total energy comes out at -18.78 eV for the cell shown. For the total magnetization, the calculation gives 2.73 μB per formula unit. As for the relative energy among the computed polymorphs: 0.0000 eV/atom.

Lattice parameters (Å, degrees): 4.632 4.632 4.632 90.00 90.00 90.00
Space group Pm-3m (No. 221)
Unique sites:
Ni 0.000 0.000 0.500 [3 per cell]
Hg 0.500 0.500 0.500 [1 per cell]
Pt 0.000 0.000 0.000 [1 per cell]



No. 6
Computed, not measured: NiHg2Pt after structural relaxation at the PBE level of DFT.

Properties
The formation enthalpy at 0 K is 253 meV/atom. The calculated total energy comes out at -45.65 eV for the cell shown. For the total magnetization, the calculation gives 0.00 μB per formula unit.

Lattice parameters (Å, degrees): 6.526 6.526 6.526 90.00 90.00 90.00
Space group F-43m (No. 216)
Unique sites:
Ni 0.000 0.000 0.000 [4 per cell]
Hg 0.000 0.000 0.500 [4 per cell]
Hg 0.250 0.250 0.750 [4 per cell]
Pt 0.250 0.250 0.250 [4 per cell]



No. 7
Computed, not measured: Ni2HgPt9 after structural relaxation at the PBE level of DFT.

Properties
The formation enthalpy at 0 K is -20 meV/atom. The calculated total energy comes out at -66.47 eV for the cell shown. For the total magnetization, the calculation gives 2.12 μB per formula unit.

Lattice parameters (Å, degrees): 3.935 3.935 11.936 90.00 90.00 90.00
Space group P4/mmm (No. 123)
Unique sites:
Ni 0.000 0.000 0.159 [2 per cell]
Hg 0.000 0.000 0.500 [1 per cell]
Pt 0.000 0.500 0.000 [2 per cell]
Pt 0.000 0.500 0.319 [4 per cell]
Pt 0.500 0.500 0.160 [2 per cell]
Pt 0.500 0.500 0.500 [1 per cell]



No. 8
Computed, not measured: NiHg2Pt after structural relaxation at the PBE level of DFT.

Properties
The formation enthalpy at 0 K is 163 meV/atom. The calculated total energy comes out at -23.55 eV for the cell shown. For the total magnetization, the calculation gives 0.00 μB per formula unit.

Lattice parameters (Å, degrees): 5.994 7.597 3.032 90.00 90.22 90.00
Space group C2/m (No. 12)
Unique sites:
Ni 0.000 0.000 0.000 [2 per cell]
Hg 0.250 0.250 0.500 [4 per cell]
Pt 0.000 0.500 0.000 [2 per cell]



No. 9
Computed, not measured: NiHg2Pt after structural relaxation at the PBE level of DFT.

Properties
The formation enthalpy at 0 K is 222 meV/atom. The calculated total energy comes out at -34.61 eV for the cell shown. For the total magnetization, the calculation gives 0.97 μB per formula unit.

Lattice parameters (Å, degrees): 2.9758 2.9758 28.4511 90.00 90.00 120.00
Space group R3m (No. 160, hexagonal axes)
Unique sites:
Ni 0.0000 0.0000 0.0000 [3 per cell]
Hg 0.0000 0.0000 0.2573 [3 per cell]
Hg 0.0000 0.0000 0.4869 [3 per cell]
Pt 0.0000 0.0000 0.7335 [3 per cell]



No. 10
Computed, not measured: Ni2Hg2Pt after structural relaxation at the PBE level of DFT.

Properties
The formation enthalpy at 0 K is 183 meV/atom. The calculated total energy comes out at -34.58 eV for the cell shown. For the total magnetization, the calculation gives 0.00 μB per formula unit.

Lattice parameters (Å, degrees): 6.509 6.509 3.877 90.00 90.00 90.00
Space group P4/mbm (No. 127)
Unique sites:
Ni 0.127 0.373 0.000 [4 per cell]
Hg 0.174 0.674 0.500 [4 per cell]
Pt 0.000 0.000 0.000 [2 per cell]



No. 11
Computed, not measured: NiHg4Pt after structural relaxation at the PBE level of DFT.

Properties
The formation enthalpy at 0 K is 667 meV/atom. The calculated total energy comes out at -36.12 eV for the cell shown. For the total magnetization, the calculation gives 0.01 μB per formula unit.

Lattice parameters (Å, degrees): 7.937 7.937 7.937 90.00 90.00 90.00
Space group F-43m (No. 216)
Unique sites:
Ni 0.000 0.000 0.000 [4 per cell]
Hg 0.125 0.125 0.375 [16 per cell]
Pt 0.250 0.250 0.750 [4 per cell]



No. 12
Computed, not measured: NiHg2Pt after structural relaxation at the PBE level of DFT.

Properties
The formation enthalpy at 0 K is 206 meV/atom. The calculated total energy comes out at -23.20 eV for the cell shown. For the total magnetization, the calculation gives 0.00 μB per formula unit.

Lattice parameters (Å, degrees): 8.814 3.056 5.345 90.00 101.91 90.00
Space group C2/m (No. 12)
Unique sites:
Ni 0.000 0.000 0.000 [2 per cell]
Hg 0.244 0.500 0.238 [4 per cell]
Pt 0.000 0.500 0.500 [2 per cell]



No. 13
Computed, not measured: NiHg2Pt after structural relaxation at the PBE level of DFT.

Properties
The formation enthalpy at 0 K is 132 meV/atom. The calculated total energy comes out at -11.90 eV for the cell shown. For the total magnetization, the calculation gives 0.00 μB per formula unit.

Lattice parameters (Å, degrees): 3.036 3.036 7.703 90.00 90.00 90.00
Space group P4mm (No. 99)
Unique sites:
Ni 0.000 0.000 0.000 [1 per cell]
Hg 0.000 0.000 0.451 [1 per cell]
Hg 0.500 0.500 0.778 [1 per cell]
Pt 0.500 0.500 0.192 [1 per cell]



No. 14
Computed, not measured: NiHg2Pt after structural relaxation at the PBE level of DFT.

Properties
The formation enthalpy at 0 K is 137 meV/atom. The calculated total energy comes out at -11.88 eV for the cell shown. For the total magnetization, the calculation gives 0.00 μB per formula unit.

Lattice parameters (Å, degrees): 3.018 3.753 6.047 90.00 90.28 90.00
Space group P2/m (No. 10)
Unique sites:
Ni 0.000 0.000 0.000 [1 per cell]
Hg 0.500 0.500 0.238 [2 per cell]
Pt 0.000 0.000 0.500 [1 per cell]



No. 15
Computed, not measured: NiHg2Pt after structural relaxation at the PBE level of DFT.

Properties
The formation enthalpy at 0 K is 366 meV/atom. The calculated total energy comes out at -43.85 eV for the cell shown. For the total magnetization, the calculation gives 0.00 μB per formula unit.

Lattice parameters (Å, degrees): 7.314 7.314 5.597 90.00 90.00 90.00
Space group I-42d (No. 122)
Unique sites:
Ni 0.000 0.000 0.000 [4 per cell]
Hg 0.230 0.250 0.125 [8 per cell]
Pt 0.000 0.000 0.500 [4 per cell]



No. 16
Computed, not measured: NiHg2Pt2 after structural relaxation at the PBE level of DFT.

Properties
The formation enthalpy at 0 K is 130 meV/atom. The calculated total energy comes out at -35.63 eV for the cell shown. For the total magnetization, the calculation gives 0.33 μB per formula unit.

Lattice parameters (Å, degrees): 6.580 6.580 4.238 90.00 90.00 90.00
Space group P4/mbm (No. 127)
Unique sites:
Ni 0.000 0.000 0.000 [2 per cell]
Hg 0.169 0.331 0.500 [4 per cell]
Pt 0.141 0.641 0.000 [4 per cell]



No. 17
Computed, not measured: NiHg2Pt after structural relaxation at the PBE level of DFT.

Properties
The formation enthalpy at 0 K is 148 meV/atom. The calculated total energy comes out at -23.67 eV for the cell shown. For the total magnetization, the calculation gives 0.00 μB per formula unit.

Lattice parameters (Å, degrees): 10.259 2.960 4.825 90.00 107.42 90.00
Space group Cm (No. 8)
Unique sites:
Ni 0.000 0.000 0.000 [2 per cell]
Hg 0.034 0.500 0.510 [2 per cell]
Hg 0.243 0.500 0.149 [2 per cell]
Pt 0.296 0.000 0.686 [2 per cell]



No. 18
Computed, not measured: Ni4HgPt2 after structural relaxation at the PBE level of DFT.

Properties
The formation enthalpy at 0 K is 1074 meV/atom. The calculated total energy comes out at -55.98 eV for the cell shown. For the total magnetization, the calculation gives 2.95 μB per formula unit.

Lattice parameters (Å, degrees): 4.636 4.636 12.401 90.00 90.00 90.00
Space group I4/mmm (No. 139)
Unique sites:
Ni 0.000 0.000 0.205 [4 per cell]
Ni 0.000 0.500 0.000 [4 per cell]
Hg 0.000 0.000 0.000 [2 per cell]
Pt 0.000 0.000 0.394 [4 per cell]



No. 19
Computed, not measured: NiHg2Pt after structural relaxation at the PBE level of DFT.

Properties
The formation enthalpy at 0 K is 142 meV/atom. The calculated total energy comes out at -11.86 eV for the cell shown. For the total magnetization, the calculation gives 0.00 μB per formula unit.

Lattice parameters (Å, degrees): 4.243 4.243 3.821 90.00 90.00 90.00
Space group P4/mmm (No. 123)
Unique sites:
Ni 0.000 0.000 0.000 [1 per cell]
Hg 0.000 0.500 0.500 [2 per cell]
Pt 0.500 0.500 0.000 [1 per cell]



No. 20
Computed, not measured: Ni4HgPt after structural relaxation at the PBE level of DFT.

Properties
The formation enthalpy at 0 K is 108 meV/atom. The calculated total energy comes out at -115.28 eV for the cell shown. For the total magnetization, the calculation gives 0.00 μB per formula unit.

Lattice parameters (Å, degrees): 6.807 6.807 6.807 90.00 90.00 90.00
Space group F-43m (No. 216)
Unique sites:
Ni 0.124 0.124 0.124 [16 per cell]
Hg 0.000 0.000 0.500 [4 per cell]
Pt 0.250 0.250 0.750 [4 per cell]



No. 21
Computed, not measured: NiHg2Pt after structural relaxation at the PBE level of DFT.

Properties
The formation enthalpy at 0 K is 204 meV/atom. The calculated total energy comes out at -23.22 eV for the cell shown. For the total magnetization, the calculation gives 0.00 μB per formula unit.

Lattice parameters (Å, degrees): 4.052 4.052 8.400 90.00 90.00 90.00
Space group I-4m2 (No. 119)
Unique sites:
Ni 0.000 0.000 0.000 [2 per cell]
Hg 0.000 0.000 0.500 [2 per cell]
Hg 0.000 0.500 0.250 [2 per cell]
Pt 0.000 0.500 0.750 [2 per cell]



No. 22
Computed, not measured: NiHg2Pt after structural relaxation at the PBE level of DFT.

Properties
The formation enthalpy at 0 K is 207 meV/atom. The calculated total energy comes out at -34.79 eV for the cell shown. For the total magnetization, the calculation gives 0.00 μB per formula unit.

Lattice parameters (Å, degrees): 3.0952 3.0952 25.4902 90.00 90.00 120.00
Space group R-3m (No. 166, hexagonal axes)
Unique sites:
Ni 0.0000 0.0000 0.0000 [3 per cell]
Hg 0.0000 0.0000 0.2552 [6 per cell]
Pt 0.0000 0.0000 0.5000 [3 per cell]



No. 23
Computed, not measured: SiNiHg2Pt after structural relaxation at the PBE level of DFT.

Properties
The value obtained for the uncorrected formation energy is 0.799 eV per atom. The calculated total energy comes out at -13.85 eV for the cell shown. For the total magnetization, the calculation gives 0.55 μB per formula unit.

Lattice parameters (Å, degrees): 4.851 4.851 4.723 90.00 90.00 90.00
Space group P4/mmm (No. 123)
Unique sites:
Si 0.000 0.000 0.000 [1 per cell]
Ni 0.500 0.500 0.500 [1 per cell]
Hg 0.000 0.500 0.500 [2 per cell]
Pt 0.500 0.500 0.000 [1 per cell]



No. 24
Computed, not measured: TmNiHgPt after structural relaxation at the PBE level of DFT.

Properties
The formation enthalpy at 0 K is -509 meV/atom. The calculated total energy comes out at -74.52 eV for the cell shown. For the total magnetization, the calculation gives 0.00 μB per formula unit.

Lattice parameters (Å, degrees): 6.625 6.625 6.625 90.00 90.00 90.00
Space group F-43m (No. 216)
Unique sites:
Tm 0.000 0.000 0.000 [4 per cell]
Ni 0.250 0.250 0.750 [4 per cell]
Hg 0.000 0.000 0.500 [4 per cell]
Pt 0.250 0.250 0.250 [4 per cell]



No. 25
Computed, not measured: UNiHgPt after structural relaxation at the PBE level of DFT.

Properties
The formation enthalpy at 0 K is -187 meV/atom. The calculated total energy comes out at -96.65 eV for the cell shown. For the total magnetization, the calculation gives 1.59 μB per formula unit.

Lattice parameters (Å, degrees): 6.691 6.691 6.691 90.00 90.00 90.00
Space group F-43m (No. 216)
Unique sites:
U 0.000 0.000 0.000 [4 per cell]
Ni 0.250 0.250 0.750 [4 per cell]
Hg 0.000 0.000 0.500 [4 per cell]
Pt 0.250 0.250 0.250 [4 per cell]



No. 26
Computed, not measured: ZrNi2HgPt after structural relaxation at the PBE level of DFT.

Properties
The formation enthalpy at 0 K is 575 meV/atom. The calculated total energy comes out at -23.58 eV for the cell shown. For the total magnetization, the calculation gives 1.62 μB per formula unit.

Lattice parameters (Å, degrees): 4.701 4.701 4.943 90.00 90.00 90.00
Space group P4/mmm (No. 123)
Unique sites:
Zr 0.000 0.000 0.000 [1 per cell]
Ni 0.000 0.500 0.500 [2 per cell]
Hg 0.500 0.500 0.000 [1 per cell]
Pt 0.000 0.000 0.500 [1 per cell]



No. 27
Computed, not measured: ZrNiHgPt after structural relaxation at the PBE level of DFT.

Properties
The formation enthalpy at 0 K is -413 meV/atom. The calculated total energy comes out at -89.30 eV for the cell shown. For the total magnetization, the calculation gives 0.00 μB per formula unit.

Lattice parameters (Å, degrees): 6.513 6.513 6.513 90.00 90.00 90.00
Space group F-43m (No. 216)
Unique sites:
Zr 0.000 0.000 0.000 [4 per cell]
Ni 0.250 0.250 0.250 [4 per cell]
Hg 0.000 0.000 0.500 [4 per cell]
Pt 0.250 0.250 0.750 [4 per cell]



No. 28
Computed, not measured: Pu3Ni8Hg after structural relaxation at the PBE level of DFT.

Properties
The formation enthalpy at 0 K is -215 meV/atom. The calculated total energy comes out at -276.37 eV for the cell shown. For the total magnetization, the calculation gives 14.50 μB per formula unit.

Lattice parameters (Å, degrees): 5.0199 5.0199 24.6022 90.00 90.00 120.00
Space group R3m (No. 160, hexagonal axes)
Unique sites:
Pu 0.0000 0.0000 0.0000 [3 per cell]
Pu 0.0000 0.0000 0.1256 [3 per cell]
Pu 0.0000 0.0000 0.6252 [3 per cell]
Ni 0.0000 0.0000 0.3124 [3 per cell]
Ni 0.0000 0.0000 0.8126 [3 per cell]
Ni 0.0004 0.5002 0.5623 [9 per cell]
Ni 0.0010 0.5005 0.0629 [9 per cell]
Hg 0.0000 0.0000 0.5003 [3 per cell]